Record 1
Below is crystalline Er3SiF at its relaxed geometry, with properties calculated at the PBE level.

a = 4.647 Å, b = 4.647 Å, c = 4.647 Å
α = 90.00°, β = 90.00°, γ = 90.00°
Space group Pm-3m (No. 221)
Symmetry-distinct sites (fractional):
Er 0.000 0.000 0.500 (multiplicity 3)
Si 0.500 0.500 0.500 (multiplicity 1)
F 0.000 0.000 0.000 (multiplicity 1)

Summary:
**Total DFT energy (no corrections)**: -5.0848 eV per atom
**M_tot**: 0.0 Bohr magnetons per cell

=====

Record 2
Below is crystalline Er4SiF5 at its relaxed geometry, with properties calculated at the PBE level.

a = 15.842 Å, b = 3.561 Å, c = 7.201 Å
α = 90.00°, β = 108.26°, γ = 90.00°
Space group C2/m (No. 12)
Symmetry-distinct sites (fractional):
Er 0.012 0.000 0.273 (multiplicity 4)
Er 0.172 0.500 0.120 (multiplicity 4)
Si 0.000 0.500 0.000 (multiplicity 2)
F 0.000 0.500 0.500 (multiplicity 2)
F 0.183 0.000 0.317 (multiplicity 4)
F 0.188 0.000 0.924 (multiplicity 4)

Summary:
**Total DFT energy (no corrections)**: -5.8332 eV per atom
**M_tot**: 0.1 Bohr magnetons per cell

=====

Record 3
Below is crystalline TbErTe2F2 at its relaxed geometry, with properties calculated at the PBE level.

a = 4.007 Å, b = 4.007 Å, c = 7.374 Å
α = 90.00°, β = 90.00°, γ = 90.00°
Space group P4mm (No. 99)
Symmetry-distinct sites (fractional):
Tb 0.000 0.000 0.000 (multiplicity 1)
Er 0.500 0.500 0.604 (multiplicity 1)
Te 0.000 0.000 0.443 (multiplicity 1)
Te 0.500 0.500 0.165 (multiplicity 1)
F 0.000 0.500 0.800 (multiplicity 2)

Summary:
**Total DFT energy (no corrections)**: -5.7117 eV per atom
**M_tot**: 0.0 Bohr magnetons per cell

=====

Record 4
Below is crystalline ErTm2F8 at its relaxed geometry, with properties calculated at the PBE level.

a = 6.566 Å, b = 9.935 Å, c = 4.026 Å
α = 90.00°, β = 103.11°, γ = 90.00°
Space group C2/m (No. 12)
Symmetry-distinct sites (fractional):
Er 0.000 0.000 0.000 (multiplicity 2)
Tm 0.000 0.319 0.500 (multiplicity 4)
F 0.000 0.235 0.000 (multiplicity 4)
F 0.133 0.500 0.805 (multiplicity 4)
F 0.195 0.133 0.610 (multiplicity 8)

Summary:
**Total DFT energy (no corrections)**: -6.3544 eV per atom
**M_tot**: 1.7 Bohr magnetons per cell

=====

Record 5
Below is crystalline ErFe3 at its relaxed geometry, with properties calculated at the PBE level.

a = 5.7868 Å, b = 5.7868 Å, c = 4.2857 Å
α = 90.00°, β = 90.00°, γ = 120.00°
Space group P6_3/mmc (No. 194)
Symmetry-distinct sites (fractional):
Er 0.3333 0.6667 0.2500 (multiplicity 2)
Fe 0.1385 0.2769 0.7500 (multiplicity 6)

Summary:
**Energy of formation from the pure elements**: 0.094 eV per atom
**Total DFT energy (no corrections)**: -7.2783 eV per atom
**M_tot**: 13.2 Bohr magnetons per cell

=====

Record 6
Below is crystalline Er3Fe at its relaxed geometry, with properties calculated at the PBE level.

a = 4.583 Å, b = 4.583 Å, c = 9.466 Å
α = 90.00°, β = 90.00°, γ = 90.00°
Space group I4/mmm (No. 139)
Symmetry-distinct sites (fractional):
Er 0.000 0.000 0.000 (multiplicity 2)
Er 0.000 0.500 0.250 (multiplicity 4)
Fe 0.000 0.000 0.500 (multiplicity 2)

Summary:
**Energy of formation from the pure elements**: 0.311 eV per atom
**Total DFT energy (no corrections)**: -5.1889 eV per atom
**M_tot**: 4.4 Bohr magnetons per cell

=====

Record 7
Below is crystalline ErFe at its relaxed geometry, with properties calculated at the PBE level.

a = 4.6873 Å, b = 4.6873 Å, c = 5.3961 Å
α = 90.00°, β = 90.00°, γ = 120.00°
Space group P6_3/mmc (No. 194)
Symmetry-distinct sites (fractional):
Er 0.3333 0.6667 0.2500 (multiplicity 2)
Fe 0.3333 0.6667 0.7500 (multiplicity 2)

Summary:
**Energy of formation from the pure elements**: 0.985 eV per atom
**Total DFT energy (no corrections)**: -5.4507 eV per atom
**M_tot**: 3.3 Bohr magnetons per cell

=====

Record 8
Below is crystalline Er3Fe at its relaxed geometry, with properties calculated at the PBE level.

a = 4.630 Å, b = 4.630 Å, c = 4.630 Å
α = 90.00°, β = 90.00°, γ = 90.00°
Space group Pm-3m (No. 221)
Symmetry-distinct sites (fractional):
Er 0.000 0.000 0.500 (multiplicity 3)
Fe 0.500 0.500 0.500 (multiplicity 1)

Summary:
**Energy of formation from the pure elements**: 0.286 eV per atom
**Total DFT energy (no corrections)**: -5.2133 eV per atom
**M_tot**: 1.8 Bohr magnetons per cell

=====

Record 9
Below is crystalline Er3Fe at its relaxed geometry, with properties calculated at the PBE level.

a = 7.191 Å, b = 7.191 Å, c = 7.191 Å
α = 90.00°, β = 90.00°, γ = 90.00°
Space group Fm-3m (No. 225)
Symmetry-distinct sites (fractional):
Er 0.000 0.000 0.000 (multiplicity 4)
Er 0.250 0.250 0.250 (multiplicity 8)
Fe 0.000 0.000 0.500 (multiplicity 4)

Summary:
**Energy of formation from the pure elements**: 0.384 eV per atom
**Total DFT energy (no corrections)**: -5.1155 eV per atom
**M_tot**: 0.0 Bohr magnetons per cell

=====

Record 10
Below is crystalline Er2Fe at its relaxed geometry, with properties calculated at the PBE level.

a = 6.130 Å, b = 6.130 Å, c = 3.962 Å
α = 90.00°, β = 90.00°, γ = 90.00°
Space group P4_2/mnm (No. 136)
Symmetry-distinct sites (fractional):
Er 0.201 0.201 0.000 (multiplicity 4)
Fe 0.000 0.000 0.500 (multiplicity 2)

Summary:
**Energy of formation from the pure elements**: 0.172 eV per atom
**Total DFT energy (no corrections)**: -5.6398 eV per atom
**M_tot**: 0.0 Bohr magnetons per cell

=====

Record 11
Below is crystalline ErFe3 at its relaxed geometry, with properties calculated at the PBE level.

a = 6.147 Å, b = 6.147 Å, c = 6.147 Å
α = 90.00°, β = 90.00°, γ = 90.00°
Space group Fm-3m (No. 225)
Symmetry-distinct sites (fractional):
Er 0.000 0.000 0.000 (multiplicity 4)
Fe 0.000 0.000 0.500 (multiplicity 4)
Fe 0.250 0.250 0.250 (multiplicity 8)

Summary:
**Energy of formation from the pure elements**: 0.201 eV per atom
**Total DFT energy (no corrections)**: -7.1712 eV per atom
**M_tot**: 24.9 Bohr magnetons per cell

=====

Record 12
Below is crystalline Er2Fe at its relaxed geometry, with properties calculated at the PBE level.

a = 8.247 Å, b = 8.247 Å, c = 8.247 Å
α = 90.00°, β = 90.00°, γ = 90.00°
Space group Fd-3m (No. 227, origin choice 2)
Symmetry-distinct sites (fractional):
Er 0.000 0.000 0.000 (multiplicity 16)
Fe 0.125 0.125 0.625 (multiplicity 8)

Summary:
**Energy of formation from the pure elements**: 1.327 eV per atom
**Total DFT energy (no corrections)**: -4.4849 eV per atom
**M_tot**: 0.4 Bohr magnetons per cell

=====

Record 13
Below is crystalline Er2Fe at its relaxed geometry, with properties calculated at the PBE level.

a = 10.855 Å, b = 10.855 Å, c = 10.855 Å
α = 90.00°, β = 90.00°, γ = 90.00°
Space group Fd-3m (No. 227, origin choice 2)
Symmetry-distinct sites (fractional):
Er 0.000 0.000 0.000 (multiplicity 16)
Fe 0.125 0.125 0.125 (multiplicity 8)

Summary:
**Energy of formation from the pure elements**: 1.108 eV per atom
**Total DFT energy (no corrections)**: -4.7041 eV per atom
**M_tot**: 0.0 Bohr magnetons per cell

=====

Record 14
Below is crystalline Er3Fe2 at its relaxed geometry, with properties calculated at the PBE level.

a = 12.811 Å, b = 3.952 Å, c = 9.211 Å
α = 90.00°, β = 111.07°, γ = 90.00°
Space group C2/m (No. 12)
Symmetry-distinct sites (fractional):
Er 0.109 0.000 0.180 (multiplicity 4)
Er 0.135 0.500 0.494 (multiplicity 4)
Er 0.136 0.500 0.877 (multiplicity 4)
Fe 0.043 0.000 0.634 (multiplicity 4)
Fe 0.230 0.000 0.742 (multiplicity 4)

Summary:
**Energy of formation from the pure elements**: -0.018 eV per atom
**Total DFT energy (no corrections)**: -6.0790 eV per atom
**M_tot**: 7.1 Bohr magnetons per cell

=====

Record 15
Below is crystalline ErFe3 at its relaxed geometry, with properties calculated at the PBE level.

a = 3.907 Å, b = 3.907 Å, c = 3.907 Å
α = 90.00°, β = 90.00°, γ = 90.00°
Space group Pm-3m (No. 221)
Symmetry-distinct sites (fractional):
Er 0.000 0.000 0.000 (multiplicity 1)
Fe 0.000 0.500 0.500 (multiplicity 3)

Summary:
**Energy of formation from the pure elements**: 0.250 eV per atom
**Total DFT energy (no corrections)**: -7.1227 eV per atom
**M_tot**: 6.7 Bohr magnetons per cell

=====

Record 16
Below is crystalline Er3Fe at its relaxed geometry, with properties calculated at the PBE level.

a = 7.004 Å, b = 9.049 Å, c = 6.168 Å
α = 90.00°, β = 90.00°, γ = 90.00°
Space group Pnma (No. 62)
Symmetry-distinct sites (fractional):
Er 0.048 0.250 0.138 (multiplicity 4)
Er 0.175 0.066 0.672 (multiplicity 8)
Fe 0.112 0.750 0.464 (multiplicity 4)

Summary:
**Energy of formation from the pure elements**: -0.038 eV per atom
**Total DFT energy (no corrections)**: -5.5381 eV per atom
**M_tot**: 0.0 Bohr magnetons per cell

=====

Record 17
Below is crystalline ErFe2 at its relaxed geometry, with properties calculated at the PBE level.

a = 7.159 Å, b = 7.159 Å, c = 7.159 Å
α = 90.00°, β = 90.00°, γ = 90.00°
Space group Fd-3m (No. 227, origin choice 2)
Symmetry-distinct sites (fractional):
Er 0.125 0.125 0.125 (multiplicity 8)
Fe 0.000 0.000 0.500 (multiplicity 16)

Summary:
**Energy of formation from the pure elements**: -0.117 eV per atom
**Total DFT energy (no corrections)**: -7.1774 eV per atom
**M_tot**: 24.3 Bohr magnetons per cell

=====

Record 18
Below is crystalline ErFe3 at its relaxed geometry, with properties calculated at the PBE level.

a = 3.780 Å, b = 3.780 Å, c = 8.422 Å
α = 90.00°, β = 90.00°, γ = 90.00°
Space group I4/mmm (No. 139)
Symmetry-distinct sites (fractional):
Er 0.000 0.000 0.000 (multiplicity 2)
Fe 0.000 0.000 0.500 (multiplicity 2)
Fe 0.000 0.500 0.250 (multiplicity 4)

Summary:
**Energy of formation from the pure elements**: 0.264 eV per atom
**Total DFT energy (no corrections)**: -7.1082 eV per atom
**M_tot**: 14.2 Bohr magnetons per cell

=====

Record 19
Below is crystalline ErFe2 at its relaxed geometry, with properties calculated at the PBE level.

a = 5.0967 Å, b = 5.0967 Å, c = 8.2592 Å
α = 90.00°, β = 90.00°, γ = 120.00°
Space group P6_3/mmc (No. 194)
Symmetry-distinct sites (fractional):
Er 0.3333 0.6667 0.0623 (multiplicity 4)
Fe 0.0000 0.0000 0.0000 (multiplicity 2)
Fe 0.1658 0.3316 0.7500 (multiplicity 6)

Summary:
**Energy of formation from the pure elements**: -0.097 eV per atom
**Total DFT energy (no corrections)**: -7.1573 eV per atom
**M_tot**: 12.8 Bohr magnetons per cell

=====

Record 20
Below is crystalline Er3Fe at its relaxed geometry, with properties calculated at the PBE level.

a = 6.6981 Å, b = 6.6981 Å, c = 5.0935 Å
α = 90.00°, β = 90.00°, γ = 120.00°
Space group P6_3/mmc (No. 194)
Symmetry-distinct sites (fractional):
Er 0.1749 0.3498 0.2500 (multiplicity 6)
Fe 0.3333 0.6667 0.7500 (multiplicity 2)

Summary:
**Energy of formation from the pure elements**: 0.220 eV per atom
**Total DFT energy (no corrections)**: -5.2802 eV per atom
**M_tot**: 3.8 Bohr magnetons per cell